# HoNiAs2

A relaxed HoNiAs2 crystal (PBE, the Alexandria database).

Cell lengths 3.7193, 3.7193, 23.1698 Å; angles 90.00, 90.00, 120.00 degrees
With the nearest neighbours (Å) after each atom.
Space group R-3m (No. 166, hexagonal axes)
Unique sites:
Ho 0.0000 0.0000 0.0000 (multiplicity 3)  2 As 2.84
Ni 0.0000 0.0000 0.5000 (multiplicity 3)  6 As 2.38
As 0.0000 0.0000 0.1228 (multiplicity 6)  3 Ni 2.38

Calculated values
Its energy of formation is -120 meV/atom. The crystal system is trigonal. The magnetization comes out at 0.0 μB per formula unit. The value obtained for the density of states at the Fermi level is 6.363 states/eV/cell.